Below is a relaxed structure of AcNiIr2O8, with properties calculated at the PBE with a Hubbard U level.

Geometry as CIF:
```
data_AcNiIr2O8
_chemical_formula_sum 'Ac1 Ni1 Ir2 O8'
_symmetry_space_group_name_H-M 'P 1'
_symmetry_Int_Tables_number 1
_cell_length_a 5.0744
_cell_length_b 5.0744
_cell_length_c 7.5798
_cell_angle_alpha 70.44
_cell_angle_beta 70.44
_cell_angle_gamma 60.00
loop_
_symmetry_equiv_pos_as_xyz
'x,y,z'
loop_
_atom_site_label
_atom_site_type_symbol
_atom_site_fract_x
_atom_site_fract_y
_atom_site_fract_z
O1 O 0.9076 0.6335 0.1742
O2 O 0.8187 0.8187 0.5438
O3 O 0.7153 0.0924 0.8258
O4 O 0.6335 0.2847 0.1742
Ni1 Ni 0.0000 0.0000 0.0000
Ac1 Ac 0.5000 0.5000 0.5000
Ir1 Ir 0.2726 0.2726 0.1822
O5 O 0.2847 0.9076 0.1742
O6 O 0.0924 0.3665 0.8258
O7 O 0.3665 0.7153 0.8258
O8 O 0.1813 0.1813 0.4562
Ir2 Ir 0.7274 0.7274 0.8178
```

Calculated values
- Space group: R-3 (148)
- Total magnetization: 0.99 μB/f.u.
- Electronic total energy: -76.3 eV per cell